No. 1
A relaxed Fe2CuW crystal. Source: Alexandria via LeMat-Bulk, functional PBE.

Its formation energy is 4.4 kcal/mol of atoms. The density is 11.4 g cm⁻³. As for the energy above the most stable polymorph in this dataset: 9.3 kJ/mol of formula units.

The space group is Cmmm (No. 65) and the conventional cell measures 3.155, 4.135 and 8.031 Å, with angles of 90.00, 90.00 and 90.00 degrees. The asymmetric unit holds Fe at (0.000, 0.000, 0.240), Cu at (0.000, 0.500, 0.000) and W at (0.000, 0.500, 0.500).

***

No. 2
A relaxed LaAl2ZnAu crystal. Source: Alexandria via LeMat-Bulk, functional PBE.

Its formation energy is -13.0 kcal/mol of atoms. The density is 7.2 g cm⁻³.

The space group is I-4m2 (No. 119) and the conventional cell measures 4.467, 4.467 and 10.476 Å, with angles of 90.00, 90.00 and 90.00 degrees. The asymmetric unit holds La at (0.000, 0.000, 0.000), Al at (0.000, 0.000, 0.376), Zn at (0.000, 0.500, 0.750) and Au at (0.000, 0.500, 0.250).

***

No. 3
A relaxed Ta2TcRu crystal. Source: Alexandria via LeMat-Bulk, functional PBE.

Its formation energy is -3.4 kcal/mol of atoms. The density is 14.4 g cm⁻³.

The space group is Pmmm (No. 47) and the conventional cell measures 3.202, 4.297 and 4.711 Å, with angles of 90.00, 90.00 and 90.00 degrees. The asymmetric unit holds Ta at (0.000, 0.000, 0.000), Ta at (0.500, 0.000, 0.500), Tc at (0.000, 0.500, 0.500) and Ru at (0.500, 0.500, 0.000).

***

No. 4
A relaxed Tm4GeAsSe2 crystal. Source: Alexandria via LeMat-Bulk, functional PBE.

As for the energy relative to the elements, uncorrected: -12.18 eV per formula unit. The density is 8.6 g cm⁻³.

The space group is P2/m (No. 10) and the conventional cell measures 7.039, 4.064 and 7.040 Å, with angles of 90.00, 109.42 and 90.00 degrees. The asymmetric unit holds Tm at (0.242, 0.000, 0.236), Tm at (0.251, 0.500, 0.764), Ge at (0.000, 0.500, 0.000), As at (0.500, 0.000, 0.000), Se at (0.000, 0.000, 0.500) and Se at (0.500, 0.500, 0.500).